1.
The following is a GGA-PBE calculation of crystalline Rb2Zr2MnSe6 at its relaxed geometry, from the Alexandria database.

Results
Total magnetization ... 5.00 μB per formula unit
SG ... No. 12
Raw formation energy ... -1187 meV/atom
Electronic total energy ... -5.652 eV per atom
ρ ... 4.5 g/cm3

Structure (POSCAR):
```
Rb2Zr2MnSe6
1.0
6.800 -0.028 0.061
-3.386 5.897 0.061
-1.210 -2.080 8.157
Se Zr Rb Mn
6 2 2 1
direct
0.275 0.275 0.315
0.063 0.397 0.686
0.603 0.937 0.314
0.725 0.725 0.685
0.397 0.063 0.686
0.937 0.603 0.314
0.333 0.667 0.500
0.667 0.333 0.500
0.166 0.834 0.000
0.834 0.166 0.000
0.000 0.000 0.500
```



2.
The following is a GGA-PBE calculation of crystalline Ti2HgPt at its relaxed geometry, from the Alexandria database.

Results
Total magnetization ... 0.00 μB per formula unit
Energy of formation ... -396 meV/atom
SG ... No. 123
Electronic total energy ... -5.929 eV per atom
ρ ... 11.6 g/cm3

Structure (POSCAR):
```
Ti2HgPt
1.0
3.228 0.000 0.000
0.000 3.228 0.000
0.000 0.000 6.723
Ti Pt Hg
2 1 1
direct
0.000 0.000 0.223
0.000 0.000 0.777
0.500 0.500 0.000
0.500 0.500 0.500
```